Entry from Alexandria via LeMat-Bulk: HfMn2Pd2 after structural relaxation (PBE).

abc: 7.4218 7.4218 2.7021
angles: 90.00 90.00 90.00
Fractional positions:
Mn 0.1727 0.6727 0.5000
Mn 0.6727 0.8273 0.5000
Mn 0.8273 0.3273 0.5000
Mn 0.3273 0.1727 0.5000
Hf 0.0000 0.0000 0.0000
Hf 0.5000 0.5000 0.0000
Pd 0.3739 0.8739 0.0000
Pd 0.8739 0.6261 0.0000
Pd 0.6261 0.1261 0.0000
Pd 0.1261 0.3739 0.0000

Properties
Energy above the lowest structure with this stoichiometry ... 32.1 kJ per mole of atoms
DFT formation energy ... 0.21 eV/atom
Volume ... 74.42 Å³/f.u.
Space group ... P4/mbm (127)
Final energy ... -7.523 eV/atom
Fermi-level density of states ... 23.1 states/eV per cell
Crystal system ... tetragonal
Magnetic moment ... 0.00 μB/f.u.